# Tl2Ni2SbO6 (PBE with a Hubbard U, optimized geometry)
data_Tl2Ni2SbO6
_chemical_formula_sum 'Tl2 Ni2 Sb1 O6'
_space_group_name_H-M_alt 'P 1'
_space_group_IT_number 1
_space_group_name_Hall 'P 1'
_cell_length_a 5.391
_cell_length_b 5.391
_cell_length_c 6.529
_cell_angle_alpha 98.49
_cell_angle_beta 98.49
_cell_angle_gamma 119.69
loop_
_atom_site_label
_atom_site_type_symbol
_atom_site_fract_x
_atom_site_fract_y
_atom_site_fract_z
Tl1 Tl 0.171 0.829 0.000
Tl2 Tl 0.829 0.171 0.000
Ni1 Ni 0.334 0.666 0.500
Ni2 Ni 0.666 0.334 0.500
Sb1 Sb 0.000 0.000 0.500
O1 O 0.057 0.381 0.669
O2 O 0.260 0.260 0.329
O3 O 0.381 0.057 0.669
O4 O 0.619 0.943 0.331
O5 O 0.740 0.740 0.671
O6 O 0.943 0.619 0.331
# M_tot: 0.2829 μB per atom
# Space-group type: No. 12
# Volume: 14.324 A^3/atom
# Raw total energy: -0.366 Ry/atom